1.
# K2GeAu

Crystalline K2GeAu at its relaxed geometry (PBE, Alexandria).

Cell: 9.479 9.479 9.479 Å, 93.59 93.59 151.00°
Positions (direct):
1 K 0.375 0.118 0.243
2 K 0.868 0.625 0.743
3 K 0.875 0.132 0.757
4 K 0.882 0.125 0.257
5 Ge 0.250 0.750 0.500
6 Ge 0.500 0.500 0.000
7 Au 0.000 0.000 0.000
8 Au 0.750 0.250 0.500

Calculated values
Spin magnetization = 0.000 μB per formula unit
Space group = I-42d
Energy relative to the elements = -0.109 eV per atom

=====

2.
# K2Ge4Au5

Crystalline K2Ge4Au5 at its relaxed geometry (PBE, Alexandria).

Cell: 9.126 7.543 7.073 Å, 77.21 53.70 49.09°
Positions (direct):
1 K 0.151 0.849 0.151
2 K 0.849 0.151 0.849
3 Ge 0.221 0.466 0.534
4 Ge 0.466 0.221 0.779
5 Ge 0.534 0.779 0.221
6 Ge 0.779 0.534 0.466
7 Au 0.000 0.500 0.000
8 Au 0.250 0.250 0.250
9 Au 0.500 0.000 0.500
10 Au 0.500 0.500 0.500
11 Au 0.750 0.750 0.750

Calculated values
Spin magnetization = 0.000 μB per formula unit
Space group = Fmmm
Energy relative to the elements = -0.174 eV per atom

=====

3.
# K4Ge2Au7

Crystalline K4Ge2Au7 at its relaxed geometry (PBE, Alexandria).

Cell: 10.183 10.183 10.183 Å, 37.95 37.95 37.95°
Positions (direct):
1 K 0.182 0.182 0.182
2 K 0.310 0.310 0.310
3 K 0.690 0.690 0.690
4 K 0.818 0.818 0.818
5 Ge 0.045 0.045 0.045
6 Ge 0.955 0.955 0.955
7 Au 0.277 0.277 0.703
8 Au 0.277 0.703 0.277
9 Au 0.297 0.723 0.723
10 Au 0.500 0.500 0.500
11 Au 0.703 0.277 0.277
12 Au 0.723 0.297 0.723
13 Au 0.723 0.723 0.297

Calculated values
Spin magnetization = 0.000 μB per formula unit
Space group = R-3m
Energy relative to the elements = -0.351 eV per atom

=====

4.
# K2GeAu5

Crystalline K2GeAu5 at its relaxed geometry (PBE, Alexandria).

Cell: 6.995 6.995 6.995 Å, 126.37 126.37 79.27°
Positions (direct):
1 K 0.000 0.500 0.500
2 K 0.500 0.000 0.500
3 Ge 0.333 0.333 0.000
4 Au 0.523 0.523 0.539
5 Au 0.523 0.984 0.000
6 Au 0.571 0.571 0.000
7 Au 0.984 0.523 0.000
8 Au 0.984 0.984 0.461

Calculated values
Spin magnetization = 0.000 μB per formula unit
Space group = I4mm
Energy relative to the elements = -0.221 eV per atom

=====

5.
# KGe3Au2

Crystalline KGe3Au2 at its relaxed geometry (PBE, Alexandria).

Cell: 6.664 6.983 5.935 Å, 90.00 90.00 90.00°
Positions (direct):
1 K 0.250 0.250 0.157
2 K 0.750 0.750 0.843
3 Ge 0.005 0.750 0.346
4 Ge 0.250 0.750 0.020
5 Ge 0.495 0.750 0.346
6 Ge 0.505 0.250 0.654
7 Ge 0.750 0.250 0.980
8 Ge 0.995 0.250 0.654
9 Au 0.250 0.541 0.652
10 Au 0.250 0.959 0.652
11 Au 0.750 0.041 0.348
12 Au 0.750 0.459 0.348

Calculated values
Spin magnetization = 0.000 μB per formula unit
Space group = Pmmn
Energy relative to the elements = -0.110 eV per atom

=====

6.
# K3Ge4Au

Crystalline K3Ge4Au at its relaxed geometry (PBE, Alexandria).

Cell: 6.679 12.120 6.189 Å, 90.00 90.00 90.00°
Positions (direct):
1 K 0.250 0.013 0.169
2 K 0.250 0.250 0.577
3 K 0.250 0.487 0.169
4 K 0.750 0.513 0.831
5 K 0.750 0.750 0.423
6 K 0.750 0.987 0.831
7 Ge 0.042 0.750 0.942
8 Ge 0.250 0.635 0.673
9 Ge 0.250 0.865 0.673
10 Ge 0.458 0.750 0.942
11 Ge 0.542 0.250 0.058
12 Ge 0.750 0.135 0.327
13 Ge 0.750 0.365 0.327
14 Ge 0.958 0.250 0.058
15 Au 0.250 0.750 0.309
16 Au 0.750 0.250 0.691

Calculated values
Spin magnetization = 0.000 μB per formula unit
Space group = Pmmn
Energy relative to the elements = -0.281 eV per atom

=====

7.
# KGe6Au12

Crystalline KGe6Au12 at its relaxed geometry (PBE, Alexandria).

Cell: 8.805 8.805 8.805 Å, 113.66 113.66 113.66°
Positions (direct):
1 K 0.000 0.000 0.000
2 Ge 0.062 0.501 0.351
3 Ge 0.351 0.062 0.501
4 Ge 0.499 0.649 0.938
5 Ge 0.501 0.351 0.062
6 Ge 0.649 0.938 0.499
7 Ge 0.938 0.499 0.649
8 Au 0.053 0.109 0.708
9 Au 0.109 0.708 0.053
10 Au 0.116 0.341 0.547
11 Au 0.292 0.947 0.891
12 Au 0.341 0.547 0.116
13 Au 0.453 0.884 0.659
14 Au 0.547 0.116 0.341
15 Au 0.659 0.453 0.884
16 Au 0.708 0.053 0.109
17 Au 0.884 0.659 0.453
18 Au 0.891 0.292 0.947
19 Au 0.947 0.891 0.292

Calculated values
Spin magnetization = 0.000 μB per formula unit
Space group = R-3
Energy relative to the elements = 0.020 eV per atom

=====

8.
# KGe3Au3

Crystalline KGe3Au3 at its relaxed geometry (PBE, Alexandria).

Cell: 9.002 9.002 9.002 Å, 50.26 50.26 50.26°
Positions (direct):
1 K 0.167 0.167 0.167
2 K 0.833 0.833 0.833
3 Ge 0.082 0.702 0.387
4 Ge 0.298 0.613 0.918
5 Ge 0.387 0.082 0.702
6 Ge 0.613 0.918 0.298
7 Ge 0.702 0.387 0.082
8 Ge 0.918 0.298 0.613
9 Au 0.032 0.392 0.739
10 Au 0.261 0.968 0.608
11 Au 0.392 0.739 0.032
12 Au 0.608 0.261 0.968
13 Au 0.739 0.032 0.392
14 Au 0.968 0.608 0.261

Calculated values
Spin magnetization = 0.000 μB per formula unit
Space group = R-3
Energy relative to the elements = -0.002 eV per atom
ΔE to the lowest computed polymorph = 40 meV/atom

=====

9.
# K3GeAu4

Crystalline K3GeAu4 at its relaxed geometry (PBE, Alexandria).

Cell: 6.800 6.800 6.800 Å, 102.56 102.56 124.42°
Positions (direct):
1 K 0.000 0.000 0.000
2 K 0.250 0.750 0.500
3 K 0.750 0.250 0.500
4 Ge 0.500 0.500 0.000
5 Au 0.288 0.288 0.576
6 Au 0.288 0.712 0.000
7 Au 0.712 0.288 0.000
8 Au 0.712 0.712 0.424

Calculated values
Spin magnetization = 0.000 μB per formula unit
Space group = I4/mmm
Energy relative to the elements = -0.060 eV per atom
ΔE to the lowest computed polymorph = 223 meV/atom

=====

10.
# K3GeAu

Crystalline K3GeAu at its relaxed geometry (PBE, Alexandria).

Cell: 6.229 6.229 6.229 Å, 90.00 90.00 90.00°
Positions (direct):
1 K 0.000 0.000 0.500
2 K 0.000 0.500 0.000
3 K 0.500 0.000 0.000
4 Ge 0.500 0.500 0.500
5 Au 0.000 0.000 0.000

Calculated values
Spin magnetization = 2.000 μB per formula unit
Space group = Pm-3m
Energy relative to the elements = 0.196 eV per atom
ΔE to the lowest computed polymorph = 260 meV/atom

=====

11.
# KGe3Au3

Crystalline KGe3Au3 at its relaxed geometry (PBE, Alexandria).

Cell: 7.244 7.244 7.244 Å, 90.00 90.00 90.00°
Positions (direct):
1 K 0.000 0.000 0.000
2 K 0.500 0.500 0.500
3 Ge 0.000 0.250 0.500
4 Ge 0.000 0.750 0.500
5 Ge 0.250 0.500 0.000
6 Ge 0.500 0.000 0.250
7 Ge 0.500 0.000 0.750
8 Ge 0.750 0.500 0.000
9 Au 0.000 0.500 0.250
10 Au 0.000 0.500 0.750
11 Au 0.250 0.000 0.500
12 Au 0.500 0.250 0.000
13 Au 0.500 0.750 0.000
14 Au 0.750 0.000 0.500

Calculated values
Spin magnetization = 0.000 μB per formula unit
Space group = Pm-3n
Energy relative to the elements = -0.043 eV per atom
ΔE to the lowest computed polymorph = 0 meV/atom

=====

12.
# K2Ge2Au5

Crystalline K2Ge2Au5 at its relaxed geometry (PBE, Alexandria).

Cell: 7.035 7.035 8.036 Å, 99.53 99.53 39.09°
Positions (direct):
1 K 0.114 0.114 0.313
2 K 0.886 0.886 0.687
3 Ge 0.321 0.321 0.061
4 Ge 0.679 0.679 0.939
5 Au 0.174 0.174 0.792
6 Au 0.420 0.420 0.374
7 Au 0.500 0.500 0.000
8 Au 0.580 0.580 0.626
9 Au 0.826 0.826 0.208

Calculated values
Spin magnetization = 0.000 μB per formula unit
Space group = C2/m
Energy relative to the elements = -0.179 eV per atom

=====

Look up the energy relative to the elements of the fifth one.
-0.110 eV per atom

=====

Look up the spin magnetization of the eighth one.
0.000 μB per formula unit

=====

Number 6 is which compound?
K3Ge4Au

=====

What is the formula in the fifth record?
KGe3Au2